Run a
PaAg2Hg: optimized geometry, PBE.

Structure (POSCAR):
```
PaAg2Hg
1.0
3.0856 0.0000 0.0000
0.0000 3.0856 0.0000
0.0000 0.0000 8.9103
Pa Ag Hg
1 2 1
Cartesian
1.5428 1.5428 4.4552
0.0000 0.0000 6.8130
0.0000 0.0000 2.0973
1.5428 1.5428 0.0000
```

Results
As for the total magnetization: 0.5 μB per formula unit. Its calculated density is 12671 kg/m³. As for the space group: P4/mmm (123).


Run b
PaAg2Hg: optimized geometry, PBE.

Structure (POSCAR):
```
PaAg2Hg
1.0
-2.3728 0.8375 1.6906
-2.8199 -0.4403 -1.0218
-1.8889 -10.0622 5.0516
Ag Pa Hg
2 1 1
Cartesian
-5.2351 -2.3444 1.9674
-1.8464 -7.3205 3.7530
0.0000 0.0000 0.0000
-3.5408 -4.8325 2.8602
```

Results
As for the total magnetization: 1.0 μB per formula unit. Its calculated density is 11973 kg/m³. As for the space group: R-3m (166).


Run c
PaAg2Hg: optimized geometry, PBE.

Structure (POSCAR):
```
PaAg2Hg
1.0
3.0994 -0.0001 0.0037
1.5496 2.6842 0.0037
1.5620 0.9018 10.4183
Ag Pa Hg
2 1 1
Cartesian
1.5528 0.8965 2.5025
1.5578 0.8994 7.9185
3.1064 1.7935 5.2136
4.6616 2.6914 10.4223
```

Results
As for the total magnetization: 0.5 μB per formula unit. Its calculated density is 12405 kg/m³. As for the space group: Cm (8).


Which one is the least stable? From the structures above, run b.